Dy2Ho3Sc4: optimized geometry, PBE-GGA.

For the total energy, the calculation gives -5.25 eV/atom. For the total magnetic moment, the calculation gives 0.0 μB/f.u. The value obtained for the energy of formation from the pure elements is 113 meV per atom.

The structure belongs to space group C2/c (No. 15); the cell edges are 15.8135, 11.0368 and 5.8305 Å and the angles 90.00°, 96.07° and 90.00°. Symmetry generates all atoms from Dy at (0.1280, 0.1414, 0.3159), Ho at (0.0000, 0.1028, 0.7500), Ho at (0.1621, 0.4039, 0.6163), Sc at (0.0422, 0.3620, 0.0210) and Sc at (0.2217, 0.1418, 0.8452).